Density functional theory data (GGA-PBE) for crystalline BeCoCuP2 at its relaxed geometry.

Cell: 4.3285 4.4529 4.3285 Å, 90.00 90.00 90.00°
Last column: nearest neighbours and their distance in Å.
Fractional coordinates of all 5 atoms:
1 P 0.0000 0.0000 0.5000  2 Cu 2.16
2 P 0.5000 0.0000 0.0000  2 Cu 2.16
3 Co 0.0000 0.5000 0.0000  2 Cu 2.23
4 Cu 0.0000 0.0000 0.0000  4 P 2.16, 2 Co 2.23
5 Be 0.5000 0.5000 0.5000  4 Co 3.06, 8 P 3.11

Calculated values
Crystal system = tetragonal
Energy = -3.924 eV/atom
Energy above the most stable polymorph in this dataset = 724 meV/atom
Spin magnetization = 1.5 μB/cell
Energy relative to the elements = 1225 meV per atom